MgHgMo3 | GGA-PBEsol | relaxed

uncorrected energy: -5.05 eV per atom
total magnetic moment: 0.00 Bohr magnetons per cell
energy relative to the elements: 2.466 eV/atom

Unit cell a=4.9046 b=4.9046 c=4.9046 alpha=90.00 beta=90.00 gamma=90.00
Element x y z (fractional)
Mg1 0.5000 0.5000 0.5000
Mo1 0.0000 0.5000 0.0000
Mo2 0.0000 0.0000 0.5000
Mo3 0.5000 0.0000 0.0000
Hg1 0.0000 0.0000 0.0000

---

MgHgNO2 | GGA-PBEsol | relaxed

E_form (uncorrected): 0.234 eV/atom
uncorrected energy: -4.03 eV per atom
total magnetic moment: 3.07 Bohr magnetons per cell

Unit cell a=3.8736 b=3.8736 c=4.1572 alpha=90.00 beta=90.00 gamma=90.00
Element x y z (fractional)
Mg1 0.0000 0.0000 0.0000
Hg1 0.5000 0.5000 0.5000
O1 0.0000 0.5000 0.0000
O2 0.5000 0.0000 0.0000
N1 0.0000 0.0000 0.5000

---

MgHgSN2 | GGA-PBEsol | relaxed

E_form (uncorrected): 1.194 eV/atom
uncorrected energy: -3.55 eV per atom
total magnetic moment: 4.17 Bohr magnetons per cell

Unit cell a=4.0368 b=4.0368 c=5.1726 alpha=90.00 beta=90.00 gamma=90.00
Element x y z (fractional)
Mg1 0.0000 0.0000 0.0000
S1 0.0000 0.0000 0.5000
Hg1 0.5000 0.5000 0.5000
N1 0.0000 0.5000 0.0000
N2 0.5000 0.0000 0.0000

---

NaMg2ZnHg | GGA-PBEsol | relaxed

uncorrected energy: -1.20 eV per atom
total magnetic moment: 0.00 Bohr magnetons per cell
energy relative to the elements: 0.195 eV/atom

Unit cell a=5.0276 b=5.0276 c=5.3167 alpha=90.00 beta=90.00 gamma=90.00
Element x y z (fractional)
Mg1 0.0000 0.5000 0.0000
Mg2 0.5000 0.0000 0.0000
Na1 0.0000 0.0000 0.5000
Zn1 0.0000 0.0000 0.0000
Hg1 0.5000 0.5000 0.5000